Material: RbAgMoO2
Method: DFT, PBE+U
State: relaxed

Cell: 4.507 5.275 4.507 Å, 90.00 90.00 90.00°
Each line ends with the local moment (μB).
Element x y z (fractional)
Mo: 0.500 0.500 0.500  4.27
O: 0.500 0.000 0.000  -0.19
O: 0.000 0.000 0.500  -0.17
Rb: 0.000 0.500 0.000  0.07
Ag: 0.000 0.000 0.000  -0.01

Results
Its volume is 107 Å³/cell. The calculation puts the final energy at -3.317 eV/atom. As for the space-group type: P4/mmm.